# LiZn2SbPd (GGA-PBE, optimized geometry)
data_LiZn2SbPd
_cell_length_a 5.2098
_cell_length_b 5.2098
_cell_length_c 5.0501
_cell_angle_alpha 90.00
_cell_angle_beta 90.00
_cell_angle_gamma 90.00
_symmetry_space_group_name_H-M 'P 1'
_symmetry_Int_Tables_number 1
_symmetry_space_group_name_Hall 'P 1'
loop_
_atom_site_label
_atom_site_type_symbol
_atom_site_fract_x
_atom_site_fract_y
_atom_site_fract_z
Li1 Li 0.0000 0.0000 0.0000
Zn1 Zn 0.0000 0.5000 0.5000
Zn2 Zn 0.5000 0.0000 0.5000
Sb1 Sb 0.5000 0.5000 0.5000
Pd1 Pd 0.5000 0.5000 0.0000
# Symmetry = No. 123
# Magnetization = 0.0 μB per formula unit
# DOS(E_F) = 0.590 states/eV/atom
# Electronic total energy = -2.43 eV per atom
# ΔE_f (raw) = 1.62 eV per formula unit

=====

# SrPrEu (GGA-PBE, optimized geometry)
data_SrPrEu
_cell_length_a 8.8748
_cell_length_b 8.8748
_cell_length_c 8.8748
_cell_angle_alpha 154.59
_cell_angle_beta 154.59
_cell_angle_gamma 36.24
_symmetry_space_group_name_H-M 'P 1'
_symmetry_Int_Tables_number 1
_symmetry_space_group_name_Hall 'P 1'
loop_
_atom_site_label
_atom_site_type_symbol
_atom_site_fract_x
_atom_site_fract_y
_atom_site_fract_z
Sr1 Sr 0.0000 0.0000 0.0000
Pr1 Pr 0.6684 0.6684 0.0000
Eu1 Eu 0.3185 0.3185 0.0000
# Symmetry = No. 107
# Magnetization = 7.7 μB per formula unit
# DOS(E_F) = 2.207 states/eV/atom
# Electronic total energy = -5.50 eV per atom
# Calculated formation energy = 0.0816 eV/atom
# Polymorph energy (0 for the lowest one) = 0.000 eV/atom

=====

# Ba3Ga8Cu3 (GGA-PBE, optimized geometry)
data_Ba3Ga8Cu3
_cell_length_a 8.7714
_cell_length_b 8.7714
_cell_length_c 10.9916
_cell_angle_alpha 128.69
_cell_angle_beta 128.69
_cell_angle_gamma 29.59
_symmetry_space_group_name_H-M 'P 1'
_symmetry_Int_Tables_number 1
_symmetry_space_group_name_Hall 'P 1'
loop_
_atom_site_label
_atom_site_type_symbol
_atom_site_fract_x
_atom_site_fract_y
_atom_site_fract_z
Ba1 Ba 0.0000 0.0000 0.0000
Ba2 Ba 0.2844 0.2844 0.2816
Ba3 Ba 0.7156 0.7156 0.7184
Ga1 Ga 0.1217 0.1217 0.8272
Ga2 Ga 0.1278 0.1278 0.4162
Ga3 Ga 0.3402 0.3402 0.0074
Ga4 Ga 0.4942 0.4942 0.6641
Ga5 Ga 0.5058 0.5058 0.3359
Ga6 Ga 0.6598 0.6598 0.9926
Ga7 Ga 0.8722 0.8722 0.5838
Ga8 Ga 0.8783 0.8783 0.1728
Cu1 Cu 0.0000 0.0000 0.5000
Cu2 Cu 0.3258 0.3258 0.6254
Cu3 Cu 0.6742 0.6742 0.3746
# Symmetry = No. 12
# Magnetization = 0.0 μB per formula unit
# DOS(E_F) = 0.417 states/eV/atom
# Electronic total energy = -3.25 eV per atom
# Calculated formation energy = -0.2297 eV/atom
# Polymorph energy (0 for the lowest one) = 0.059 eV/atom

=====

# Pa2Ga4Ni3Pt (GGA-PBE, optimized geometry)
data_Pa2Ga4Ni3Pt
_cell_length_a 3.9979
_cell_length_b 3.9979
_cell_length_c 10.4546
_cell_angle_alpha 90.00
_cell_angle_beta 90.00
_cell_angle_gamma 90.00
_symmetry_space_group_name_H-M 'P 1'
_symmetry_Int_Tables_number 1
_symmetry_space_group_name_Hall 'P 1'
loop_
_atom_site_label
_atom_site_type_symbol
_atom_site_fract_x
_atom_site_fract_y
_atom_site_fract_z
Pa1 Pa 0.0000 0.5000 0.2414
Pa2 Pa 0.5000 0.0000 0.7586
Ga1 Ga 0.0000 0.0000 0.0000
Ga2 Ga 0.0000 0.5000 0.6401
Ga3 Ga 0.5000 0.0000 0.3599
Ga4 Ga 0.5000 0.5000 0.0000
Ni1 Ni 0.0000 0.5000 0.8634
Ni2 Ni 0.5000 0.0000 0.1366
Ni3 Ni 0.5000 0.5000 0.5000
Pt1 Pt 0.0000 0.0000 0.5000
# Symmetry = No. 115
# Magnetization = 0.0 μB per formula unit
# DOS(E_F) = 0.843 states/eV/atom
# Electronic total energy = -6.00 eV per atom
# Calculated formation energy = -0.5504 eV/atom

=====

# Sm6ThTl3 (GGA-PBE, optimized geometry)
data_Sm6ThTl3
_cell_length_a 10.1633
_cell_length_b 5.3028
_cell_length_c 11.5293
_cell_angle_alpha 90.00
_cell_angle_beta 100.87
_cell_angle_gamma 90.00
_symmetry_space_group_name_H-M 'P 1'
_symmetry_Int_Tables_number 1
_symmetry_space_group_name_Hall 'P 1'
loop_
_atom_site_label
_atom_site_type_symbol
_atom_site_fract_x
_atom_site_fract_y
_atom_site_fract_z
Sm1 Sm 0.0469 0.2500 0.4033
Sm2 Sm 0.1447 0.7500 0.1931
Sm3 Sm 0.2303 0.2500 0.9809
Sm4 Sm 0.3228 0.7500 0.7881
Sm5 Sm 0.3647 0.2500 0.2738
Sm6 Sm 0.4311 0.2500 0.5964
Sm7 Sm 0.5689 0.7500 0.4036
Sm8 Sm 0.6353 0.7500 0.7262
Sm9 Sm 0.6772 0.2500 0.2119
Sm10 Sm 0.7697 0.7500 0.0191
Sm11 Sm 0.8553 0.2500 0.8069
Sm12 Sm 0.9531 0.7500 0.5967
Th1 Th 0.4542 0.7500 0.0934
Th2 Th 0.5458 0.2500 0.9066
Tl1 Tl 0.0391 0.7500 0.8929
Tl2 Tl 0.1424 0.2500 0.6905
Tl3 Tl 0.2625 0.7500 0.4776
Tl4 Tl 0.7375 0.2500 0.5224
Tl5 Tl 0.8576 0.7500 0.3095
Tl6 Tl 0.9609 0.2500 0.1071
# Symmetry = No. 11
# Magnetization = 0.0 μB per formula unit
# DOS(E_F) = 1.026 states/eV/atom
# Electronic total energy = -4.49 eV per atom
# Calculated formation energy = -0.2108 eV/atom

=====

# NbHSCl2 (GGA-PBE, optimized geometry)
data_NbHSCl2
_cell_length_a 4.9443
_cell_length_b 4.9443
_cell_length_c 4.7306
_cell_angle_alpha 90.00
_cell_angle_beta 90.00
_cell_angle_gamma 90.00
_symmetry_space_group_name_H-M 'P 1'
_symmetry_Int_Tables_number 1
_symmetry_space_group_name_Hall 'P 1'
loop_
_atom_site_label
_atom_site_type_symbol
_atom_site_fract_x
_atom_site_fract_y
_atom_site_fract_z
Nb1 Nb 0.0000 0.0000 0.0000
H1 H 0.5000 0.5000 0.5000
S1 S 0.0000 0.0000 0.5000
Cl1 Cl 0.0000 0.5000 0.0000
Cl2 Cl 0.5000 0.0000 0.0000
# Symmetry = No. 123
# Magnetization = 1.0 μB per formula unit
# DOS(E_F) = 0.344 states/eV/atom
# Electronic total energy = -4.49 eV per atom
# Polymorph energy (0 for the lowest one) = 0.000 eV/atom

=====

# CoOsAu2 (GGA-PBE, optimized geometry)
data_CoOsAu2
_cell_length_a 2.7519
_cell_length_b 2.7519
_cell_length_c 8.1022
_cell_angle_alpha 90.00
_cell_angle_beta 90.00
_cell_angle_gamma 90.00
_symmetry_space_group_name_H-M 'P 1'
_symmetry_Int_Tables_number 1
_symmetry_space_group_name_Hall 'P 1'
loop_
_atom_site_label
_atom_site_type_symbol
_atom_site_fract_x
_atom_site_fract_y
_atom_site_fract_z
Co1 Co 0.0000 0.0000 0.0000
Os1 Os 0.0000 0.0000 0.5000
Au1 Au 0.5000 0.5000 0.2385
Au2 Au 0.5000 0.5000 0.7615
# Symmetry = No. 123
# Magnetization = 2.0 μB per formula unit
# DOS(E_F) = 1.249 states/eV/atom
# Electronic total energy = -5.65 eV per atom
# Calculated formation energy = 0.5729 eV/atom
# Polymorph energy (0 for the lowest one) = 0.302 eV/atom

=====

# Sc12Al5Sn3 (GGA-PBE, optimized geometry)
data_Sc12Al5Sn3
_cell_length_a 14.3038
_cell_length_b 14.3038
_cell_length_c 14.3038
_cell_angle_alpha 109.47
_cell_angle_beta 109.47
_cell_angle_gamma 109.47
_symmetry_space_group_name_H-M 'P 1'
_symmetry_Int_Tables_number 1
_symmetry_space_group_name_Hall 'P 1'
loop_
_atom_site_label
_atom_site_type_symbol
_atom_site_fract_x
_atom_site_fract_y
_atom_site_fract_z
Sc1 Sc 0.0539 0.2181 0.1331
Sc2 Sc 0.0539 0.3358 0.9209
Sc3 Sc 0.0791 0.6331 0.4150
Sc4 Sc 0.0791 0.9461 0.6642
Sc5 Sc 0.0850 0.7181 0.6642
Sc6 Sc 0.0850 0.8669 0.4209
Sc7 Sc 0.1331 0.0539 0.2181
Sc8 Sc 0.1331 0.5791 0.9150
Sc9 Sc 0.1642 0.2181 0.5850
Sc10 Sc 0.1642 0.4461 0.5791
Sc11 Sc 0.2181 0.1331 0.0539
Sc12 Sc 0.2181 0.5850 0.1642
Sc13 Sc 0.2819 0.3358 0.9150
Sc14 Sc 0.2819 0.4461 0.3669
Sc15 Sc 0.3358 0.9150 0.2819
Sc16 Sc 0.3358 0.9209 0.0539
Sc17 Sc 0.3669 0.2819 0.4461
Sc18 Sc 0.3669 0.5850 0.9209
Sc19 Sc 0.4150 0.0791 0.6331
Sc20 Sc 0.4150 0.8358 0.7819
Sc21 Sc 0.4209 0.0850 0.8669
Sc22 Sc 0.4209 0.8358 0.5539
Sc23 Sc 0.4461 0.3669 0.2819
Sc24 Sc 0.4461 0.5791 0.1642
Sc25 Sc 0.5539 0.4209 0.8358
Sc26 Sc 0.5539 0.6331 0.7181
Sc27 Sc 0.5791 0.1642 0.4461
Sc28 Sc 0.5791 0.9150 0.1331
Sc29 Sc 0.5850 0.1642 0.2181
Sc30 Sc 0.5850 0.9209 0.3669
Sc31 Sc 0.6331 0.4150 0.0791
Sc32 Sc 0.6331 0.7181 0.5539
Sc33 Sc 0.6642 0.0791 0.9461
Sc34 Sc 0.6642 0.0850 0.7181
Sc35 Sc 0.7181 0.5539 0.6331
Sc36 Sc 0.7181 0.6642 0.0850
Sc37 Sc 0.7819 0.4150 0.8358
Sc38 Sc 0.7819 0.8669 0.9461
Sc39 Sc 0.8358 0.5539 0.4209
Sc40 Sc 0.8358 0.7819 0.4150
Sc41 Sc 0.8669 0.4209 0.0850
Sc42 Sc 0.8669 0.9461 0.7819
Sc43 Sc 0.9150 0.1331 0.5791
Sc44 Sc 0.9150 0.2819 0.3358
Sc45 Sc 0.9209 0.0539 0.3358
Sc46 Sc 0.9209 0.3669 0.5850
Sc47 Sc 0.9461 0.6642 0.0791
Sc48 Sc 0.9461 0.7819 0.8669
Al1 Al 0.0000 0.0000 0.0000
Al2 Al 0.0000 0.0000 0.5000
Al3 Al 0.0000 0.5000 0.0000
Al4 Al 0.0000 0.5000 0.5000
Al5 Al 0.1250 0.7500 0.8750
Al6 Al 0.1250 0.8750 0.2500
Al7 Al 0.2500 0.1250 0.8750
Al8 Al 0.2500 0.6250 0.3750
Al9 Al 0.3750 0.2500 0.6250
Al10 Al 0.3750 0.6250 0.7500
Al11 Al 0.5000 0.0000 0.0000
Al12 Al 0.5000 0.0000 0.5000
Al13 Al 0.5000 0.5000 0.0000
Al14 Al 0.5000 0.5000 0.5000
Al15 Al 0.6250 0.3750 0.2500
Al16 Al 0.6250 0.7500 0.3750
Al17 Al 0.7500 0.3750 0.6250
Al18 Al 0.7500 0.8750 0.1250
Al19 Al 0.8750 0.1250 0.7500
Al20 Al 0.8750 0.2500 0.1250
Sn1 Sn 0.1250 0.2500 0.3750
Sn2 Sn 0.1250 0.3750 0.7500
Sn3 Sn 0.2500 0.3750 0.1250
Sn4 Sn 0.2500 0.8750 0.6250
Sn5 Sn 0.3750 0.1250 0.2500
Sn6 Sn 0.3750 0.7500 0.1250
Sn7 Sn 0.6250 0.2500 0.8750
Sn8 Sn 0.6250 0.8750 0.7500
Sn9 Sn 0.7500 0.1250 0.3750
Sn10 Sn 0.7500 0.6250 0.8750
Sn11 Sn 0.8750 0.6250 0.2500
Sn12 Sn 0.8750 0.7500 0.6250
# Symmetry = No. 230
# Magnetization = 0.0 μB per formula unit
# DOS(E_F) = 1.322 states/eV/atom
# Electronic total energy = -5.12 eV per atom
# Calculated formation energy = 0.2166 eV/atom

=====

# Th2MnBi (GGA-PBE, optimized geometry)
data_Th2MnBi
_cell_length_a 10.0363
_cell_length_b 10.0363
_cell_length_c 10.0363
_cell_angle_alpha 22.15
_cell_angle_beta 22.15
_cell_angle_gamma 22.15
_symmetry_space_group_name_H-M 'P 1'
_symmetry_Int_Tables_number 1
_symmetry_space_group_name_Hall 'P 1'
loop_
_atom_site_label
_atom_site_type_symbol
_atom_site_fract_x
_atom_site_fract_y
_atom_site_fract_z
Th1 Th 0.1156 0.1156 0.1156
Th2 Th 0.8844 0.8844 0.8844
Mn1 Mn 0.5000 0.5000 0.5000
Bi1 Bi 0.0000 0.0000 0.0000
# Symmetry = No. 166
# Magnetization = 0.0 μB per formula unit
# DOS(E_F) = 0.562 states/eV/atom
# Electronic total energy = -6.75 eV per atom
# Calculated formation energy = 0.2259 eV/atom

=====

# Tb3HoTl5 (GGA-PBE, optimized geometry)
data_Tb3HoTl5
_cell_length_a 9.3608
_cell_length_b 9.3608
_cell_length_c 6.5883
_cell_angle_alpha 90.00
_cell_angle_beta 90.00
_cell_angle_gamma 120.00
_symmetry_space_group_name_H-M 'P 1'
_symmetry_Int_Tables_number 1
_symmetry_space_group_name_Hall 'P 1'
loop_
_atom_site_label
_atom_site_type_symbol
_atom_site_fract_x
_atom_site_fract_y
_atom_site_fract_z
Tb1 Tb 0.0000 0.3694 0.2500
Tb2 Tb 0.0000 0.6306 0.7500
Tb3 Tb 0.3694 0.0000 0.2500
Tb4 Tb 0.3694 0.3694 0.7500
Tb5 Tb 0.6306 0.0000 0.7500
Tb6 Tb 0.6306 0.6306 0.2500
Ho1 Ho 0.0000 0.0000 0.0000
Ho2 Ho 0.0000 0.0000 0.5000
Tl1 Tl 0.0000 0.2974 0.7500
Tl2 Tl 0.0000 0.7026 0.2500
Tl3 Tl 0.2974 0.0000 0.7500
Tl4 Tl 0.2974 0.2974 0.2500
Tl5 Tl 0.3333 0.6667 0.0000
Tl6 Tl 0.3333 0.6667 0.5000
Tl7 Tl 0.6667 0.3333 0.0000
Tl8 Tl 0.6667 0.3333 0.5000
Tl9 Tl 0.7026 0.0000 0.2500
Tl10 Tl 0.7026 0.7026 0.7500
# Symmetry = No. 193
# Magnetization = 0.0 μB per formula unit
# DOS(E_F) = 0.866 states/eV/atom
# Electronic total energy = -3.67 eV per atom
# Calculated formation energy = -0.3056 eV/atom

=====

# CoGePt (GGA-PBE, optimized geometry)
data_CoGePt
_cell_length_a 3.8206
_cell_length_b 3.7466
_cell_length_c 5.8825
_cell_angle_alpha 90.00
_cell_angle_beta 99.04
_cell_angle_gamma 90.00
_symmetry_space_group_name_H-M 'P 1'
_symmetry_Int_Tables_number 1
_symmetry_space_group_name_Hall 'P 1'
loop_
_atom_site_label
_atom_site_type_symbol
_atom_site_fract_x
_atom_site_fract_y
_atom_site_fract_z
Co1 Co 0.2426 0.2500 0.4969
Co2 Co 0.7574 0.7500 0.5031
Ge1 Ge 0.3187 0.7500 0.7553
Ge2 Ge 0.6813 0.2500 0.2447
Pt1 Pt 0.1839 0.7500 0.1580
Pt2 Pt 0.8161 0.2500 0.8420
# Symmetry = No. 11
# Magnetization = 0.0 μB per formula unit
# DOS(E_F) = 0.976 states/eV/atom
# Electronic total energy = -6.19 eV per atom
# Calculated formation energy = -0.2667 eV/atom